DFT (GGA-PBE) results for crystalline La2MgSb2 at its relaxed geometry.

Calculated values
The density of states at the Fermi level comes out at 1.08 states/eV per cell.

Lattice parameters (Å, degrees): 8.344 8.344 4.388 90.00 90.00 90.00
Fractional coordinates of all 10 atoms:
La 0.347 0.153 0.500
La 0.653 0.847 0.500
La 0.847 0.347 0.500
La 0.153 0.653 0.500
Sb 0.346 0.846 0.000
Sb 0.846 0.654 0.000
Sb 0.154 0.346 0.000
Sb 0.654 0.154 0.000
Mg 0.000 0.000 0.000
Mg 0.500 0.500 0.000

***

DFT (GGA-PBE) results for crystalline La2MgSb4 at its relaxed geometry.

Calculated values
The density of states at the Fermi level comes out at 2.62 states/eV per cell.

Lattice parameters (Å, degrees): 4.364 4.364 11.406 90.00 90.00 90.00
Fractional coordinates of all 7 atoms:
La 0.500 0.000 0.732
La 0.000 0.500 0.268
Mg 0.500 0.500 0.000
Sb 0.500 0.000 0.165
Sb 0.500 0.500 0.500
Sb 0.000 0.500 0.835
Sb 0.000 0.000 0.500

***

no.,calculated total energy (eV/atom)
1,-4.88
2,-4.82